(1)
Compound: Hf3ZrH
Source: Alexandria
Functional: SCAN
Structure: single point on PBEsol structure

a b c (Å): 5.0679 5.0679 5.0679
angles (deg): 90.00 90.00 90.00
Element x y z (fractional)
H  0.5000  0.5000  0.5000
Hf  0.0000  0.5000  0.0000
Hf  0.0000  0.0000  0.5000
Hf  0.5000  0.0000  0.0000
Zr  0.0000  0.0000  0.0000

For the final energy, the calculation gives -212.474 eV per cell. The value obtained for the spin magnetization is 0.00 μB per atom.

***

(2)
Compound: Mg2CrC
Source: Alexandria
Functional: SCAN
Structure: single point on PBEsol structure

a b c (Å): 3.8832 6.1432 6.1432
angles (deg): 84.27 71.58 71.58
Each line ends with the local moment (μB).
Element x y z (fractional)
Cr  0.7500  0.5000  0.5000  3.12
Cr  0.0000  0.0000  0.0000  3.12
Mg  0.2721  0.8529  0.3529  -0.01
Mg  0.4779  0.1471  0.6471  -0.01
Mg  0.3750  0.3529  0.1471  -0.01
Mg  0.8750  0.6471  0.8529  -0.01
C  0.2500  0.5000  0.5000  -0.22
C  0.5000  0.0000  0.0000  -0.22

For the final energy, the calculation gives -74.237 eV per cell. The value obtained for the spin magnetization is 0.75 μB per atom.

***

(3)
Compound: SrRu2Se
Source: Alexandria
Functional: SCAN
Structure: single point on PBEsol structure

a b c (Å): 3.1147 5.0893 5.6519
angles (deg): 109.70 90.00 107.82
Element x y z (fractional)
Ru  0.9666  0.9332  0.8489
Ru  0.2478  0.4957  0.7957
Se  0.5418  0.0835  0.5893
Sr  0.7438  0.4876  0.2661

The value obtained for the formation energy without anion corrections is 0.00 eV per atom. The value obtained for the spin magnetization is 0.00 μB per atom.

***

Question: Number 1 is which compound?
Answer: Hf3ZrH